Computed, not measured: a geometry-optimized Ba2Mn2TlO7 structure at the PBE+U level of DFT.

For the total magnetization, the calculation gives 8.2 μB/f.u. As for the electronic total energy: -6.193 eV/atom.

a = 3.7839 Å, b = 3.7839 Å, c = 14.7993 Å
α = 90.00°, β = 90.00°, γ = 90.00°
Each line ends with the local moment (μB).
Fractional coordinates of all 12 atoms:
Tl (0.0000, 0.0000, 0.5000)  0.00
O (0.0000, 0.5000, 0.8320)  0.08
O (0.5000, 0.0000, 0.8320)  0.08
O (0.0000, 0.0000, 0.6410)  -0.02
O (0.5000, 0.0000, 0.1680)  0.08
O (0.0000, 0.5000, 0.1680)  0.08
O (0.5000, 0.5000, 0.5000)  -0.18
O (0.0000, 0.0000, 0.3590)  -0.02
Mn (0.0000, 0.0000, 0.8502)  3.81
Mn (0.0000, 0.0000, 0.1498)  3.81
Ba (0.5000, 0.5000, 0.3125)  0.00
Ba (0.5000, 0.5000, 0.6875)  0.00